(1)
## ScV2Pb3O9 (GGA+U)

Data for crystalline ScV2Pb3O9 at its relaxed geometry.

## Properties
- Total energy: -6.973 eV per atom

abc: 5.6493 5.6493 6.9562
angles: 90.00 90.00 120.00
Last column: nearest neighbours and their distance in Å.
Fractional positions:
1 Sc 0.0000 0.0000 0.0000  6 O 2.10
2 V 0.3333 0.6667 0.6781  6 O 1.86-2.05
3 V 0.6667 0.3333 0.3219  6 O 1.86-2.05
4 Pb 0.0000 0.0000 0.5000  12 O 2.79-2.82
5 Pb 0.3333 0.6667 0.2053  9 O 2.62-2.83
6 Pb 0.6667 0.3333 0.7947  9 O 2.62-2.83
7 O 0.0000 0.5000 0.5000  2 V 2.05
8 O 0.1723 0.3447 0.8191  1 V 1.86
9 O 0.1723 0.8277 0.8191  1 V 1.86
10 O 0.3447 0.1723 0.1809  1 V 1.86
11 O 0.5000 0.0000 0.5000  2 V 2.05
12 O 0.5000 0.5000 0.5000  2 V 2.05
13 O 0.6553 0.8277 0.8191  1 V 1.86
14 O 0.8277 0.1723 0.1809  1 V 1.86
15 O 0.8277 0.6553 0.1809  1 V 1.86


(2)
## ScV2PbO (GGA+U)

Data for crystalline ScV2PbO at its relaxed geometry.

## Properties
- Total energy: -5.590 eV per atom

abc: 5.7354 5.7354 3.7813
angles: 90.00 90.00 90.00
Last column: nearest neighbours and their distance in Å.
Fractional positions:
1 Sc 0.0000 0.0000 0.0000  2 O 1.89
2 V 0.0000 0.5000 0.0000  2 Sc 2.87
3 V 0.5000 0.0000 0.0000  2 Sc 2.87
4 Pb 0.5000 0.5000 0.5000  8 V 3.43, 2 Pb 3.78
5 O 0.0000 0.0000 0.5000  2 Sc 1.89